[1]
Below is a relaxed structure of CoNi2Ag, with properties calculated at the PBE-GGA level.

Cell: 4.482 4.482 4.607 Å, 80.03 80.03 34.02°
Each line ends with the local moment (μB).
Element x y z (fractional)
Ni 0.001 0.001 0.992  0.61
Ni 0.258 0.258 0.228  0.60
Co 0.741 0.741 0.785  1.80
Ag 0.500 0.500 0.495  0.00

Calculated values
DOS at the Fermi energy   5.100 states/eV per cell
E above lowest polymorph   98 meV per atom
ρ   9.3 Mg/m³



[2]
Below is a relaxed structure of Sb2TeIN, with properties calculated at the PBE-GGA level.

Cell: 5.074 4.705 5.074 Å, 90.00 90.00 90.00°
Element x y z (fractional)
Sb 0.500 0.000 0.000
Te 0.000 0.500 0.000
Sb 0.000 0.000 0.500
N 0.000 0.000 0.000
I 0.500 0.500 0.500

Calculated values
DOS at the Fermi energy   3.030 states/eV per cell
E above lowest polymorph   0 meV per atom
ρ   7.0 Mg/m³



[3]
Below is a relaxed structure of MnCo2As, with properties calculated at the PBE-GGA level.

Cell: 3.805 3.805 3.300 Å, 90.00 90.00 89.98°
Each line ends with the local moment (μB).
Element x y z (fractional)
Mn 0.500 0.000 0.500  3.00
Co 0.000 0.000 0.000  0.78
Co 0.500 0.500 0.000  0.78
As 0.000 0.500 0.500  -0.06

Calculated values
DOS at the Fermi energy   3.392 states/eV per cell
E   -28.38 eV/f.u.
ρ   8.6 Mg/m³



[4]
Below is a relaxed structure of Rb3Pr2PaSe6, with properties calculated at the PBE-GGA level.

Cell: 7.525 7.525 8.438 Å, 98.55 98.55 119.99°
Each line ends with the local moment (μB).
Element x y z (fractional)
Rb 0.170 0.830 0.500  0.00
Rb 0.500 0.500 0.500  0.00
Se 0.067 0.389 0.202  -0.01
Pa 0.000 0.000 0.000  1.21
Se 0.933 0.611 0.798  -0.01
Se 0.611 0.933 0.798  -0.01
Pr 0.666 0.334 0.000  0.11
Se 0.389 0.067 0.202  -0.01
Rb 0.830 0.170 0.500  0.00
Pr 0.334 0.666 0.000  0.11
Se 0.253 0.253 0.797  -0.01
Se 0.747 0.747 0.203  -0.01

Calculated values
DOS at the Fermi energy   7.625 states/eV per cell
E   -61.76 eV/f.u.
ρ   5.2 Mg/m³